Compound: MgGeCl2
Source: Alexandria via LeMat-Bulk
Functional: meta-GGA SCAN
Structure: PBEsol geometry

Structure (POSCAR):
```
MgGeCl2
1.0
-4.5800 1.2677 0.7988
-3.5560 -3.1281 -0.8893
-2.4437 -1.9727 3.6548
Ge Mg Cl
1 1 2
Direct
0.5000 0.5000 0.5000
0.0000 0.0000 0.0000
0.2500 0.2500 0.2500
0.7500 0.7500 0.7500
```

Summary:
Fermi-level density of states in states/eV/f.u.: 2.16
Electronic total energy in eV/atom: -10.27
V in Å³/atom: 19.78
Total magnetic moment in μB/cell: 0.000